Record 1
# Ta6PdRh5, optimized geometry, DFT PBE-GGA
data_Ta6PdRh5
_chemical_formula_sum 'Ta12 Pd2 Rh10'
_cell_length_a 4.0232
_cell_length_b 7.8155
_cell_length_c 12.2245
_cell_angle_alpha 90.00
_cell_angle_beta 90.00
_cell_angle_gamma 90.00
_space_group_name_H-M_alt 'I m m m'
_space_group_IT_number 71
_space_group_name_Hall '-I 2 2'
loop_
_atom_site_label
_atom_site_fract_x
_atom_site_fract_y
_atom_site_fract_z
Ta1 0.0000 0.2450 0.0000
Ta2 0.0000 0.2523 0.3325
Pd1 0.0000 0.0000 0.5000
Rh1 0.0000 0.0000 0.1677
Rh2 0.0000 0.5000 0.1647
Rh3 0.0000 0.5000 0.5000
# - Calculated formation energy: -451 meV/atom
# - Total moment: 0.00 μB/cell
# - Total DFT energy (no corrections): -9.873 eV/atom
# - Density of states at the Fermi level: 8.381 states/eV/f.u.


Record 2
# TaCr2Co, optimized geometry, DFT PBE-GGA
data_TaCr2Co
_chemical_formula_sum 'Ta3 Cr6 Co3'
_cell_length_a 2.7936
_cell_length_b 2.7936
_cell_length_c 23.9733
_cell_angle_alpha 90.00
_cell_angle_beta 90.00
_cell_angle_gamma 120.00
_space_group_name_H-M_alt 'R 3 m'
_space_group_IT_number 160
_space_group_name_Hall 'R 3 -2"'
loop_
_atom_site_label
_atom_site_fract_x
_atom_site_fract_y
_atom_site_fract_z
Ta1 0.0000 0.0000 0.0000
Cr1 0.0000 0.0000 0.2372
Cr2 0.0000 0.0000 0.5010
Co1 0.0000 0.0000 0.7557
# - Calculated formation energy: 352 meV/atom
# - Total moment: 2.64 μB/cell
# - Relative energy among the computed polymorphs: 343.6 meV per atom
# - Total DFT energy (no corrections): -9.199 eV/atom
# - Density of states at the Fermi level: 5.409 states/eV/f.u.


Record 3
# Rb2TaRhCl6, optimized geometry, DFT PBE-GGA
data_Rb2TaRhCl6
_chemical_formula_sum 'Rb4 Ta2 Rh2 Cl12'
_cell_length_a 7.9742
_cell_length_b 7.9742
_cell_length_c 9.0939
_cell_angle_alpha 90.00
_cell_angle_beta 90.00
_cell_angle_gamma 90.00
_space_group_name_H-M_alt 'I 4/m m m'
_space_group_IT_number 139
_space_group_name_Hall '-I 4 2'
loop_
_atom_site_label
_atom_site_fract_x
_atom_site_fract_y
_atom_site_fract_z
Rb1 0.0000 0.5000 0.2500
Ta1 0.0000 0.0000 0.0000
Rh1 0.0000 0.0000 0.5000
Cl1 0.0000 0.0000 0.2563
Cl2 0.2175 0.2175 0.0000
# - Total moment: 0.00 μB/cell
# - Total DFT energy (no corrections): -4.300 eV/atom
# - Uncorrected formation energy: -1077.6 meV per atom
# - Density of states at the Fermi level: 0.303 states/eV/f.u.


Record 4
# SbAu2O, optimized geometry, DFT PBE-GGA
data_SbAu2O
_chemical_formula_sum 'Sb4 Au8 O4'
_cell_length_a 7.3399
_cell_length_b 7.3399
_cell_length_c 5.2359
_cell_angle_alpha 90.00
_cell_angle_beta 90.00
_cell_angle_gamma 90.00
_space_group_name_H-M_alt 'I -4 2 d'
_space_group_IT_number 122
_space_group_name_Hall 'I -4 2bw'
loop_
_atom_site_label
_atom_site_fract_x
_atom_site_fract_y
_atom_site_fract_z
Sb1 0.0000 0.0000 0.0000
Au1 0.2105 0.2500 0.6250
O1 0.0000 0.0000 0.5000
# - Total moment: 0.00 μB/cell
# - Relative energy among the computed polymorphs: 0.0 meV per atom
# - Total DFT energy (no corrections): -3.845 eV/atom
# - Uncorrected formation energy: 64.0 meV per atom
# - Density of states at the Fermi level: 1.363 states/eV/f.u.


Record 5
# Ac2Pd3Pb, optimized geometry, DFT PBE-GGA
data_Ac2Pd3Pb
_chemical_formula_sum 'Ac16 Pd24 Pb8'
_cell_length_a 8.3582
_cell_length_b 9.5829
_cell_length_c 16.1032
_cell_angle_alpha 90.00
_cell_angle_beta 90.00
_cell_angle_gamma 90.00
_space_group_name_H-M_alt 'F m m m'
_space_group_IT_number 69
_space_group_name_Hall '-F 2 2'
loop_
_atom_site_label
_atom_site_fract_x
_atom_site_fract_y
_atom_site_fract_z
Ac1 0.2348 0.0000 0.0000
Ac2 0.2500 0.2500 0.2500
Pd1 0.0000 0.0000 0.1633
Pd2 0.0000 0.2486 0.0837
Pb1 0.0000 0.0000 0.3346
# - Calculated formation energy: -658 meV/atom
# - Total moment: 0.00 μB/cell
# - Relative energy among the computed polymorphs: 36.3 meV per atom
# - Total DFT energy (no corrections): -5.242 eV/atom
# - Density of states at the Fermi level: 4.368 states/eV/f.u.


Record 6
# Hf2AgAuF, optimized geometry, DFT PBE-GGA
data_Hf2AgAuF
_chemical_formula_sum 'Hf2 Ag1 Au1 F1'
_cell_length_a 4.3287
_cell_length_b 4.3287
_cell_length_c 4.8757
_cell_angle_alpha 90.00
_cell_angle_beta 90.00
_cell_angle_gamma 90.00
_space_group_name_H-M_alt 'P 4/m m m'
_space_group_IT_number 123
_space_group_name_Hall '-P 4 2'
loop_
_atom_site_label
_atom_site_fract_x
_atom_site_fract_y
_atom_site_fract_z
Hf1 0.0000 0.5000 0.0000
Ag1 0.0000 0.0000 0.5000
Au1 0.5000 0.5000 0.5000
F1 0.5000 0.5000 0.0000
# - Total moment: 0.00 μB/cell
# - Total DFT energy (no corrections): -5.930 eV/atom
# - Uncorrected formation energy: -348.4 meV per atom
# - Density of states at the Fermi level: 5.122 states/eV/f.u.


Record 7
# NaPm2AuO6, optimized geometry, DFT PBE-GGA
data_NaPm2AuO6
_chemical_formula_sum 'Na2 Pm4 Au2 O12'
_cell_length_a 5.5766
_cell_length_b 5.9947
_cell_length_c 9.6871
_cell_angle_alpha 90.00
_cell_angle_beta 123.76
_cell_angle_gamma 90.00
_space_group_name_H-M_alt 'P 1 21/c 1'
_space_group_IT_number 14
_space_group_name_Hall '-P 2ybc'
loop_
_atom_site_label
_atom_site_fract_x
_atom_site_fract_y
_atom_site_fract_z
Na1 0.0000 0.0000 0.0000
Pm1 0.2202 0.0713 0.7443
Au1 0.5000 0.0000 0.5000
O1 0.1482 0.1776 0.4470
O2 0.2526 0.7168 0.4234
O3 0.3966 0.0609 0.2665
# - Total moment: 0.00 μB/cell
# - Total DFT energy (no corrections): -6.346 eV/atom
# - Uncorrected formation energy: -1961.0 meV per atom
# - Density of states at the Fermi level: 0.000 states/eV/f.u.


Record 8
# Pr5NdDy8, optimized geometry, DFT PBE-GGA
data_Pr5NdDy8
_chemical_formula_sum 'Pr10 Nd2 Dy16'
_cell_length_a 17.5280
_cell_length_b 3.5721
_cell_length_c 16.9680
_cell_angle_alpha 90.00
_cell_angle_beta 118.16
_cell_angle_gamma 90.00
_space_group_name_H-M_alt 'C 1 2/m 1'
_space_group_IT_number 12
_space_group_name_Hall '-C 2y'
loop_
_atom_site_label
_atom_site_fract_x
_atom_site_fract_y
_atom_site_fract_z
Pr1 0.0000 0.0000 0.0000
Pr2 0.1446 0.5000 0.9400
Pr3 0.2131 0.5000 0.6433
Nd1 0.0000 0.5000 0.5000
Dy1 0.0781 0.0000 0.7228
Dy2 0.0812 0.5000 0.2238
Dy3 0.1466 0.0000 0.4386
Dy4 0.2163 0.0000 0.1464
# - Calculated formation energy: 46 meV/atom
# - Total moment: 0.00 μB/cell
# - Total DFT energy (no corrections): -4.632 eV/atom
# - Density of states at the Fermi level: 19.186 states/eV/f.u.


Record 9
# Dy2ThOsC4, optimized geometry, DFT PBE-GGA
data_Dy2ThOsC4
_chemical_formula_sum 'Dy8 Th4 Os4 C16'
_cell_length_a 3.5191
_cell_length_b 12.1066
_cell_length_c 12.1373
_cell_angle_alpha 90.00
_cell_angle_beta 90.00
_cell_angle_gamma 90.00
_space_group_name_H-M_alt 'C m c m'
_space_group_IT_number 63
_space_group_name_Hall '-C 2c 2'
loop_
_atom_site_label
_atom_site_fract_x
_atom_site_fract_y
_atom_site_fract_z
Dy1 0.0000 0.1298 0.0402
Th1 0.0000 0.4120 0.2500
Os1 0.0000 0.3300 0.7500
C1 0.0000 0.0803 0.2500
C2 0.0000 0.2318 0.6305
C3 0.0000 0.5000 0.0000
# - Calculated formation energy: -79 meV/atom
# - Total moment: 0.00 μB/cell
# - Total DFT energy (no corrections): -8.172 eV/atom
# - Density of states at the Fermi level: 3.435 states/eV/f.u.


Record 10
# AcGaNiPd, optimized geometry, DFT PBE-GGA
data_AcGaNiPd
_chemical_formula_sum 'Ac3 Ga3 Ni3 Pd3'
_cell_length_a 4.3468
_cell_length_b 4.3468
_cell_length_c 15.5001
_cell_angle_alpha 90.00
_cell_angle_beta 90.00
_cell_angle_gamma 120.00
_space_group_name_H-M_alt 'R 3 m'
_space_group_IT_number 160
_space_group_name_Hall 'R 3 -2"'
loop_
_atom_site_label
_atom_site_fract_x
_atom_site_fract_y
_atom_site_fract_z
Ac1 0.0000 0.0000 0.0000
Ga1 0.0000 0.0000 0.5082
Ni1 0.0000 0.0000 0.1998
Pd1 0.0000 0.0000 0.7978
# - Calculated formation energy: -634 meV/atom
# - Total moment: 0.00 μB/cell
# - Total DFT energy (no corrections): -5.161 eV/atom
# - Density of states at the Fermi level: 1.719 states/eV/f.u.